# InPb3, optimized geometry, DFT GGA-PBEsol
# formation energy from the elements: 9 meV/atom
# V: 28.7 Å³/atom
# DFT total energy: -14.94 eV for the cell shown
# crystal system: triclinic
data_InPb3
_chemical_formula_sum 'In1 Pb3'
_space_group_name_H-M_alt 'P -1'
_space_group_IT_number 2
_cell_length_a 3.4648
_cell_length_b 5.8687
_cell_length_c 5.9956
_cell_angle_alpha 100.42
_cell_angle_beta 106.53
_cell_angle_gamma 90.09
loop_
_space_group_symop_operation_xyz
'x,y,z'
'-x,-y,-z'
loop_
_atom_site_label
_atom_site_type_symbol
_atom_site_fract_x
_atom_site_fract_y
_atom_site_fract_z
In1 In 0.0000 0.0000 0.0000
Pb1 Pb 0.2519 0.7537 0.5029
Pb2 Pb 0.5000 0.5000 0.0000